Entry from Alexandria via LeMat-Bulk: a geometry-optimized UCrGa structure (PBE).

abc: 2.9333 4.5793 4.5793
angles: 120.00 90.00 90.00
Closest atoms and distances in Å follow each position.
Fractional coordinates of all 3 atoms:
Cr 0.4999 0.6667 0.3333  3 Ga 2.64, 2 Cr 2.93
U 0.0000 0.0000 0.0000  2 U 2.93, 6 Cr 3.02, 6 Ga 3.02
Ga 0.5001 0.3333 0.6667  3 Cr 2.64, 2 Ga 2.93

Properties
The calculation puts the total energy at -23.6 eV for the cell shown. The calculation puts the calculated volume at 53.27 Å³ per cell. The calculation puts the density of states at the Fermi level at 1.567 states/eV/atom. The calculation puts the formation enthalpy at 0 K at 106 meV/atom. The value obtained for the total moment is 1.2 Bohr magnetons per cell.

=====

Entry from Alexandria via LeMat-Bulk: a geometry-optimized UCr2Ga structure (PBE).

abc: 3.3171 4.2342 4.2342
angles: 90.00 90.00 90.00
Closest atoms and distances in Å follow each position.
Fractional coordinates of all 4 atoms:
Cr 0.0000 0.5000 0.0000  4 Ga 2.69, 4 U 2.69, 4 Cr 2.99
Cr 0.0000 0.0000 0.5000  4 U 2.69, 4 Ga 2.69, 4 Cr 2.99
U 0.5000 0.0000 0.0000  8 Cr 2.69, 4 Ga 2.99
Ga 0.5000 0.5000 0.5000  8 Cr 2.69, 4 U 2.99

Properties
The calculation puts the total energy at -33.3 eV for the cell shown. The calculation puts the calculated volume at 59.47 Å³ per cell. The calculation puts the density of states at the Fermi level at 1.725 states/eV/atom. The calculation puts the formation enthalpy at 0 K at 67 meV/atom. The value obtained for the total moment is 0.9 Bohr magnetons per cell.

=====

Entry from Alexandria via LeMat-Bulk: a geometry-optimized V8CrGa2 structure (PBE).

abc: 4.2955 5.7068 6.9268
angles: 109.42 108.06 90.00
Closest atoms and distances in Å follow each position.
Fractional coordinates of all 11 atoms:
V 0.3498 0.1022 0.6996  1 Cr 2.25
V 0.6096 0.4102 0.2193  1 Cr 2.28
V 0.3904 0.5898 0.7807  1 Cr 2.28
V 0.6502 0.8978 0.3004  1 Cr 2.25
V 0.9947 0.2697 0.9894  7 V 2.51-2.81, 1 Ga 2.62, 2 Cr 2.66
V 0.8329 0.8257 0.6658  7 V 2.51-2.78, 3 Ga 2.73-2.76
V 0.1671 0.1743 0.3342  7 V 2.51-2.78, 3 Ga 2.73-2.76
V 0.0053 0.7303 0.0106  7 V 2.51-2.81, 1 Ga 2.62, 2 Cr 2.66
Ga 0.8059 0.3286 0.6117  11 V 2.59-2.82
Ga 0.1941 0.6714 0.3883  11 V 2.59-2.82
Cr 0.5000 0.0000 0.0000  4 V 2.25-2.28

Properties
The calculation puts the total energy at -89.1 eV for the cell shown. The calculation puts the calculated volume at 151.24 Å³ per cell. The calculation puts the density of states at the Fermi level at 0.925 states/eV/atom. The calculation puts the formation enthalpy at 0 K at -39 meV/atom. The value obtained for the total moment is 0.0 Bohr magnetons per cell.

=====

Entry from Alexandria via LeMat-Bulk: a geometry-optimized VCr3Ga structure (PBE).

abc: 4.5964 4.5964 4.5964
angles: 90.00 90.00 90.00
Closest atoms and distances in Å follow each position.
Fractional coordinates of all 5 atoms:
Cr 0.0000 0.5000 0.0000  2 Ga 2.30
Cr 0.0000 0.0000 0.5000  2 Ga 2.30
Cr 0.5000 0.0000 0.0000  2 Ga 2.30
V 0.5000 0.5000 0.5000  12 Cr 3.25
Ga 0.0000 0.0000 0.0000  6 Cr 2.30

Properties
The calculation puts the total energy at -34.3 eV for the cell shown. The calculation puts the calculated volume at 97.11 Å³ per cell. The calculation puts the density of states at the Fermi level at 1.513 states/eV/atom. The calculation puts the formation enthalpy at 0 K at 1351 meV/atom. The value obtained for the total moment is 7.6 Bohr magnetons per cell.

=====

Entry from Alexandria via LeMat-Bulk: a geometry-optimized V12CrGa3 structure (PBE).

abc: 4.7492 4.7762 9.5084
angles: 90.00 90.00 90.00
Closest atoms and distances in Å follow each position.
Fractional coordinates of all 16 atoms:
V 0.2498 0.5000 0.0000  2 V 2.37-2.38
V 0.5000 0.0000 0.8725  2 V 2.41-2.42, 4 Ga 2.66-2.67
V 0.2427 0.5000 0.5000  2 V 2.31-2.44
V 0.7573 0.5000 0.5000  2 V 2.31-2.44
V 0.5000 0.0000 0.1275  2 V 2.41-2.42, 4 Ga 2.66-2.67
V 0.0000 0.2428 0.7432  2 V 2.32-2.46, 1 Cr 2.59
V 0.0000 0.7572 0.7432  2 V 2.32-2.46, 1 Cr 2.59
V 0.0000 0.7572 0.2568  2 V 2.32-2.46, 1 Cr 2.59
V 0.5000 0.0000 0.3810  2 V 2.26-2.41
V 0.7502 0.5000 0.0000  2 V 2.37-2.38
V 0.5000 0.0000 0.6190  2 V 2.26-2.41
V 0.0000 0.2428 0.2568  2 V 2.32-2.46, 1 Cr 2.59
Ga 0.5000 0.5000 0.7496  12 V 2.66-2.69
Ga 0.0000 0.0000 0.0000  12 V 2.67-2.70
Ga 0.5000 0.5000 0.2504  12 V 2.66-2.69
Cr 0.0000 0.0000 0.5000  12 V 2.59-2.65

Properties
The calculation puts the total energy at -130.6 eV for the cell shown. The calculation puts the calculated volume at 215.68 Å³ per cell. The calculation puts the density of states at the Fermi level at 1.462 states/eV/atom. The calculation puts the formation enthalpy at 0 K at -157 meV/atom. The value obtained for the total moment is 0.0 Bohr magnetons per cell.

=====

Entry from Alexandria via LeMat-Bulk: a geometry-optimized V4Cr3Ga structure (PBE).

abc: 4.1650 5.8983 8.3309
angles: 90.00 90.00 90.00
Closest atoms and distances in Å follow each position.
Fractional coordinates of all 16 atoms:
Ga 0.0000 0.5000 0.0000  8 V 2.59
Ga 0.0000 0.5000 0.5000  8 V 2.59
Cr 0.5000 0.0000 0.2500  8 V 2.51
Cr 0.0000 0.0000 0.0000  8 V 2.51
Cr 0.5002 0.5000 0.2500  8 V 2.59
Cr 0.5000 0.0000 0.7500  8 V 2.51
Cr 0.4998 0.5000 0.7500  8 V 2.59
Cr 0.0000 0.0000 0.5000  8 V 2.51
V 0.5000 0.2378 0.0000  6 Cr 2.51-2.59, 2 Ga 2.59, 1 V 2.80
V 0.0000 0.7622 0.2500  6 Cr 2.51-2.59, 2 Ga 2.59, 1 V 2.81
V 0.5000 0.7622 0.0000  6 Cr 2.51-2.59, 2 Ga 2.59, 1 V 2.80
V 0.5000 0.7622 0.5000  6 Cr 2.51-2.59, 2 Ga 2.59, 1 V 2.80
V 0.0000 0.2378 0.2500  6 Cr 2.51-2.59, 2 Ga 2.59, 1 V 2.81
V 0.0000 0.7622 0.7500  6 Cr 2.51-2.59, 2 Ga 2.59, 1 V 2.81
V 0.5000 0.2378 0.5000  6 Cr 2.51-2.59, 2 Ga 2.59, 1 V 2.80
V 0.0000 0.2378 0.7500  6 Cr 2.51-2.59, 2 Ga 2.59, 1 V 2.81

Properties
The calculation puts the total energy at -138.3 eV for the cell shown. The calculation puts the calculated volume at 204.66 Å³ per cell. The calculation puts the density of states at the Fermi level at 0.816 states/eV/atom. The calculation puts the formation enthalpy at 0 K at -98 meV/atom. The value obtained for the total moment is 0.0 Bohr magnetons per cell.